Entry 1:
## LaBeCr (PBE)

Data for LaBeCr after structural relaxation.

abc: 6.473 6.473 6.473
angles: 90.00 90.00 90.00
Space group F-43m (No. 216)
Unique sites:
La 0.000 0.000 0.000 x4
Be 0.000 0.000 0.500 x4
Cr 0.250 0.250 0.750 x4

* energy above the most stable polymorph in this dataset: 8.65 kcal/mol of atoms
* ΔE_f: 764.9 meV/atom


Entry 2:
## LaBeCr2 (PBE)

Data for LaBeCr2 after structural relaxation.

abc: 3.179 5.073 8.885
angles: 90.00 90.00 90.00
Space group Immm (No. 71)
Unique sites:
La 0.000 0.000 0.000 x2
Be 0.000 0.000 0.500 x2
Cr 0.000 0.500 0.205 x4

* ΔE_f: 709.7 meV/atom


Entry 3:
## LaBe3Cr (PBE)

Data for LaBe3Cr after structural relaxation.

abc: 4.394 4.394 4.394
angles: 90.00 90.00 90.00
Space group Pm-3m (No. 221)
Unique sites:
La 0.000 0.000 0.000 x1
Be 0.000 0.500 0.500 x3
Cr 0.500 0.500 0.500 x1

* energy above the most stable polymorph in this dataset: 0.00 kcal/mol of atoms
* ΔE_f: 481.5 meV/atom


Entry 4:
## LaBeCr2 (PBE)

Data for LaBeCr2 after structural relaxation.

abc: 4.249 4.249 4.033
angles: 90.00 90.00 90.00
Space group P4/mmm (No. 123)
Unique sites:
La 0.000 0.000 0.000 x1
Be 0.500 0.500 0.000 x1
Cr 0.000 0.500 0.500 x2

* ΔE_f: 767.7 meV/atom


Entry 5:
## LaBeCr2 (PBE)

Data for LaBeCr2 after structural relaxation.

abc: 3.1444 3.1444 24.5164
angles: 90.00 90.00 120.00
Space group R-3m (No. 166, hexagonal axes)
Unique sites:
La 0.0000 0.0000 0.0000 x3
Be 0.0000 0.0000 0.5000 x3
Cr 0.0000 0.0000 0.2273 x6

* ΔE_f: 866.9 meV/atom


Entry 6:
## LaBeCr3 (PBE)

Data for LaBeCr3 after structural relaxation.

abc: 4.488 4.488 4.488
angles: 90.00 90.00 90.00
Space group Pm-3m (No. 221)
Unique sites:
La 0.000 0.000 0.000 x1
Be 0.500 0.500 0.500 x1
Cr 0.000 0.000 0.500 x3

* energy above the most stable polymorph in this dataset: 28.10 kcal/mol of atoms
* ΔE_f: 2229.4 meV/atom